Entry 1:
Computed, not measured: a relaxed structure of Hf4RePb at the PBE-GGA level of DFT.

Symmetry   No. 15
DOS(E_F)   11.26 states/eV per cell
ΔE to the lowest computed polymorph   0.20 eV per formula unit

Unit cell a=5.6439 b=8.1651 c=7.4563 alpha=115.07 beta=101.50 gamma=109.09
With the nearest neighbours (Å) after each atom.
Fractional positions:
Hf1 0.0495 0.1939 0.8313  2 Re 2.76-2.78, 1 Pb 3.04
Hf2 0.7770 0.7102 0.6441  2 Re 2.73-2.79, 1 Pb 3.04
Hf3 0.2818 0.6375 0.8313  2 Re 2.76-2.78, 1 Pb 3.04
Hf4 0.3671 0.9338 0.6441  2 Re 2.73-2.79, 1 Pb 3.04
Hf5 0.6329 0.0662 0.3559  2 Re 2.73-2.79, 1 Pb 3.04
Hf6 0.7182 0.3625 0.1687  2 Re 2.76-2.78, 1 Pb 3.04
Hf7 0.2230 0.2898 0.3559  2 Re 2.73-2.79, 1 Pb 3.04
Hf8 0.9505 0.8061 0.1687  2 Re 2.76-2.78, 1 Pb 3.04
Re1 0.2494 0.9994 0.9988  8 Hf 2.73-2.79, 2 Re 2.82
Re2 0.7506 0.0006 0.0012  8 Hf 2.73-2.79, 2 Re 2.82
Pb1 0.3684 0.6184 0.2368  10 Hf 3.04-3.38
Pb2 0.6316 0.3816 0.7632  10 Hf 3.04-3.38

Entry 2:
Computed, not measured: a relaxed structure of KSbSe at the PBE-GGA level of DFT.

Symmetry   No. 1
Energy relative to the elements, uncorrected   -2.04 eV/f.u.
DOS(E_F)   0.23 states/eV per cell
ΔE to the lowest computed polymorph   0.03 eV per formula unit

Unit cell a=4.3951 b=5.1802 c=9.4030 alpha=98.92 beta=103.32 gamma=89.99
With the nearest neighbours (Å) after each atom.
Fractional positions:
K1 0.1093 0.3534 0.6937  6 Se 3.39-3.72, 1 Sb 3.69, 1 K 3.75
K2 0.2690 0.9610 0.0050  6 Se 3.39-3.74, 1 Sb 3.68, 1 K 3.75
Sb1 0.4334 0.8448 0.3918  1 Se 2.58
Sb2 0.8913 0.4700 0.3068  1 Se 2.58
Se1 0.5975 0.8458 0.6734  1 Sb 2.58
Se2 0.7764 0.4685 0.0250  1 Sb 2.58

Entry 3:
Computed, not measured: a relaxed structure of RePBr3 at the PBE-GGA level of DFT.

Symmetry   No. 221
Energy relative to the elements, uncorrected   5.34 eV/f.u.
DOS(E_F)   5.88 states/eV per cell
ΔE to the lowest computed polymorph   0.00 eV per formula unit

Unit cell a=4.9984 b=4.9984 c=4.9984 alpha=90.00 beta=90.00 gamma=90.00
With the nearest neighbours (Å) after each atom.
Fractional positions:
Re1 0.0000 0.0000 0.0000  6 Br 2.50
Br1 0.0000 0.5000 0.0000  2 Re 2.50
Br2 0.0000 0.0000 0.5000  2 Re 2.50
Br3 0.5000 0.0000 0.0000  2 Re 2.50
P1 0.5000 0.5000 0.5000  12 Br 3.53